## GaCuPt2 (GGA-PBEsol)

Data for a relaxed GaCuPt2 crystal.

Values from the calculation:
* formation energy: -0.49 eV per atom
* space-group type: P4/mmm
* magnetic moment: 0.0 μB per formula unit
* ρ: 15.77 g/cm3
* V: 55.1 Å³/f.u.

Unit cell a=3.9405 b=3.9405 c=3.5500 alpha=90.00 beta=90.00 gamma=90.00
Fractional coordinates of all 4 atoms:
Ga 0.0000 0.0000 0.0000
Cu 0.5000 0.5000 0.0000
Pt 0.0000 0.5000 0.5000
Pt 0.5000 0.0000 0.5000

---

## Na3LiSe (GGA-PBEsol)

Data for a relaxed Na3LiSe crystal.

Values from the calculation:
* raw formation energy: -400 meV/atom
* space-group type: Pm-3m
* magnetic moment: 0.0 μB per formula unit
* ρ: 1.49 g/cm3
* V: 172.8 Å³/f.u.

Unit cell a=5.5696 b=5.5696 c=5.5696 alpha=90.00 beta=90.00 gamma=90.00
Fractional coordinates of all 5 atoms:
Na 0.0000 0.0000 0.5000
Na 0.0000 0.5000 0.0000
Na 0.5000 0.0000 0.0000
Li 0.5000 0.5000 0.5000
Se 0.0000 0.0000 0.0000

---

## BeAg2Te (GGA-PBEsol)

Data for a relaxed BeAg2Te crystal.

Values from the calculation:
* raw formation energy: 167 meV/atom
* energy relative to the lowest polymorph listed for this composition: 0 meV/atom
* space-group type: Pm
* magnetic moment: 0.0 μB per formula unit
* ρ: 7.86 g/cm3
* V: 74.4 Å³/f.u.

Unit cell a=3.1674 b=3.7120 c=6.3297 alpha=90.00 beta=90.27 gamma=90.00
Fractional coordinates of all 4 atoms:
Be 0.0000 0.0000 0.0000
Ag 0.5001 0.5000 0.8477
Ag 0.9986 0.0000 0.6269
Te 0.0019 0.5000 0.2619

---

## RhC3 (GGA-PBEsol)

Data for a relaxed RhC3 crystal.

Values from the calculation:
* energy relative to the lowest polymorph listed for this composition: 942 meV/atom
* formation energy: 2.12 eV per atom
* space-group type: P-6m2
* magnetic moment: 0.0 μB per formula unit
* ρ: 7.28 g/cm3
* V: 31.7 Å³/f.u.

Unit cell a=2.5769 b=2.5769 c=5.5083 alpha=90.00 beta=90.00 gamma=120.00
Fractional coordinates of all 4 atoms:
Rh 0.0000 0.0000 0.0000
C 0.0000 0.0000 0.5000
C 0.6667 0.3333 0.3248
C 0.6667 0.3333 0.6752

---

## Te2MoAu (GGA-PBEsol)

Data for a relaxed Te2MoAu crystal.

Values from the calculation:
* raw formation energy: 513 meV/atom
* energy relative to the lowest polymorph listed for this composition: 303 meV/atom
* space-group type: P4/mmm
* magnetic moment: 1.1 μB per formula unit
* ρ: 11.35 g/cm3
* V: 80.2 Å³/f.u.

Unit cell a=4.8113 b=4.8113 c=3.4634 alpha=90.00 beta=90.00 gamma=90.00
Fractional coordinates of all 4 atoms:
Te 0.0000 0.5000 0.0000
Te 0.5000 0.0000 0.0000
Mo 0.0000 0.0000 0.5000
Au 0.5000 0.5000 0.5000

---

## YHf3F (GGA-PBEsol)

Data for a relaxed YHf3F crystal.

Values from the calculation:
* raw formation energy: -484 meV/atom
* space-group type: Pm-3m
* magnetic moment: 0.0 μB per formula unit
* ρ: 10.81 g/cm3
* V: 98.8 Å³/f.u.

Unit cell a=4.6230 b=4.6230 c=4.6230 alpha=90.00 beta=90.00 gamma=90.00
Fractional coordinates of all 5 atoms:
Y 0.0000 0.0000 0.0000
Hf 0.0000 0.5000 0.5000
Hf 0.5000 0.0000 0.5000
Hf 0.5000 0.5000 0.0000
F 0.5000 0.5000 0.5000